A relaxed YFeGeF2 crystal, computed with PBE with a Hubbard U.

Cell lengths 3.9752, 7.8738, 3.9752 Å; angles 90.00, 90.00, 90.00 degrees
Atoms (fractional coordinates):
Y: 0.0000 0.5000 0.0000
Ge: 0.5000 0.5000 0.5000
Fe: 0.0000 0.0000 0.0000
F: 0.0000 0.0000 0.5000
F: 0.5000 0.0000 0.0000

Computed properties:
- symmetry = P4/mmm
- density (g/cm3) = 3.408
- energy (eV/f.u.) = -26.65
- DOS(E_F) (states/eV per atom) = 0.474